Entry 1:
{"formula": "PmDyY6Tm2", "functional": "PBE", "state": "relaxed", "total_energy_ev_per_atom": -5.59, "lattice": [[-3.751, 1.806, -8.661], [-0.901, -8.678, -0.701], [-6.271, 4.303, 4.332]], "species": ["Y", "Y", "Dy", "Dy", "Y", "Y", "Tm", "Tm", "Tm", "Y", "Tm", "Y", "Pm", "Y", "Pm", "Y", "Y", "Y", "Y", "Y"], "fractional_positions": [[0.556, 0.755, 0.118], [0.618, 0.493, 0.705], [0.250, 0.974, 0.026], [0.750, 0.026, 0.974], [0.944, 0.882, 0.245], [0.382, 0.507, 0.295], [0.453, 0.806, 0.705], [0.547, 0.194, 0.295], [0.953, 0.705, 0.806], [0.182, 0.570, 0.020], [0.047, 0.295, 0.194], [0.118, 0.705, 0.493], [0.250, 0.407, 0.593], [0.318, 0.980, 0.430], [0.750, 0.593, 0.407], [0.818, 0.430, 0.980], [0.444, 0.245, 0.882], [0.682, 0.020, 0.570], [0.882, 0.295, 0.507], [0.056, 0.118, 0.755]]}


Entry 2:
{"formula": "Pm6Dy3YTm2", "functional": "PBE", "state": "relaxed", "total_energy_ev_per_atom": -4.80, "lattice": [[6.234, 0.000, 0.009], [-3.115, 5.399, 0.009], [-1.052, -1.822, 11.616]], "species": ["Pm", "Pm", "Pm", "Pm", "Y", "Tm", "Dy", "Dy", "Pm", "Dy", "Pm", "Tm"], "fractional_positions": [[0.084, 0.418, 0.249], [0.916, 0.582, 0.751], [0.418, 0.084, 0.249], [0.582, 0.916, 0.751], [0.000, 0.000, 0.000], [0.667, 0.333, 0.000], [0.833, 0.167, 0.500], [0.500, 0.500, 0.500], [0.749, 0.749, 0.249], [0.167, 0.833, 0.500], [0.251, 0.251, 0.751], [0.333, 0.667, 0.000]]}


Entry 3:
{"formula": "Pm2DyYTm2", "functional": "PBE", "state": "relaxed", "total_energy_ev_per_atom": -4.86, "lattice": [[-3.687, 4.133, -0.996], [-5.313, -4.520, 0.914], [-0.178, 2.122, 9.464]], "species": ["Dy", "Y", "Pm", "Y", "Tm", "Tm", "Pm", "Tm", "Pm", "Tm", "Dy", "Pm"], "fractional_positions": [[0.500, 0.258, 0.681], [0.000, 0.508, 0.500], [0.500, 0.258, 0.345], [0.000, 0.008, 0.500], [0.500, 0.008, 0.000], [0.500, 0.508, 0.000], [0.500, 0.758, 0.655], [0.000, 0.258, 0.156], [0.000, 0.758, 0.176], [0.000, 0.758, 0.844], [0.500, 0.758, 0.319], [0.000, 0.258, 0.824]]}


Entry 4:
{"formula": "Pm2Dy5YTm", "functional": "PBE", "state": "relaxed", "total_energy_ev_per_atom": -4.55, "lattice": [[8.599, 0.000, 0.000], [0.000, 8.599, 0.000], [-4.300, -4.300, 7.873]], "species": ["Pm", "Dy", "Dy", "Pm", "Dy", "Y", "Tm", "Dy", "Tm", "Y", "Dy", "Dy", "Dy", "Dy", "Dy", "Dy", "Pm", "Pm"], "fractional_positions": [[0.882, 0.618, 0.000], [0.647, 0.147, 0.720], [0.353, 0.853, 0.280], [0.382, 0.882, 0.000], [0.853, 0.927, 0.280], [0.750, 0.750, 0.500], [0.250, 0.750, 0.500], [0.500, 0.500, 0.000], [0.750, 0.250, 0.500], [0.250, 0.250, 0.500], [0.573, 0.647, 0.720], [0.927, 0.427, 0.280], [0.147, 0.073, 0.720], [0.427, 0.353, 0.280], [0.073, 0.573, 0.720], [0.000, 0.000, 0.000], [0.118, 0.382, 0.000], [0.618, 0.118, 0.000]]}


Which formation energy from the elements belongs to each record? In order, 11.7, 1.3, 5.9, 26.7 kJ per mole of atoms.
Which density of states at the Fermi level belongs to each record? In order, 31.32, 13.75, 20.96, 24.90 states/eV per cell.
Which calculated density belongs to each record? In order, 6.0, 7.6, 7.6, 7.8 Mg/m³.